1.
Density functional theory data (PBE) for a relaxed SrSbW crystal.

The structure belongs to space group P3m1 (No. 156); the cell edges are 3.5447, 3.5447 and 7.1645 Å and the angles 90.00°, 90.00° and 120.00°. The asymmetric unit holds Sr at (0.0000, 0.0000, 0.0000), Sb at (0.3333, 0.6667, 0.6128) and W at (0.6667, 0.3333, 0.3602).

The offset from the most stable computed form is 0.849 eV per formula unit. The uncorrected formation energy is 0.66 eV/atom. The energy is -16.8 eV for the cell shown. For the total moment, the calculation gives 0.727 μB/f.u.



2.
Density functional theory data (PBE) for a relaxed Ba2Hg3As crystal.

The structure belongs to space group Fmmm (No. 69); the cell edges are 8.759, 10.100 and 17.343 Å and the angles 90.00°, 90.00° and 90.00°. The asymmetric unit holds Ba at (0.244, 0.000, 0.000), Ba at (0.250, 0.250, 0.250), Hg at (0.000, 0.000, 0.169), Hg at (0.000, 0.245, 0.416) and As at (0.000, 0.000, 0.333).

The energy is -104.0 eV for the cell shown. For the formation energy, the calculation gives -599.6 meV per atom. For the total moment, the calculation gives 0.000 μB/f.u.



3.
Density functional theory data (PBE) for a relaxed MgSc5Tc crystal.

The structure belongs to space group C2/c (No. 15); the cell edges are 8.331, 6.979 and 11.295 Å and the angles 90.00°, 104.55° and 90.00°. The asymmetric unit holds Mg at (0.000, 0.121, 0.250), Sc at (0.000, 0.462, 0.750), Sc at (0.136, 0.163, 0.573), Sc at (0.249, 0.167, 0.879) and Tc at (0.000, 0.500, 0.000).

The energy is -174.0 eV for the cell shown. For the formation energy, the calculation gives 17.3 meV per atom. For the total moment, the calculation gives 0.000 μB/f.u.